a) # Sc2NiPd3

Crystalline Sc2NiPd3 at its relaxed geometry (PBE, Alexandria via LeMat-Bulk).

a b c (Å): 8.250 5.461 7.013
angles (deg): 112.91 126.03 90.00
Positions (direct):
Pd  0.224  0.474  0.448
Pd  0.224  0.974  0.448
Pd  0.776  0.526  0.552
Pd  0.500  0.250  0.000
Pd  0.776  0.026  0.552
Pd  0.500  0.750  0.000
Sc  0.137  0.871  0.741
Sc  0.395  0.629  0.259
Sc  0.863  0.129  0.259
Sc  0.605  0.371  0.741
Ni  0.000  0.500  0.000
Ni  0.000  0.000  0.000

Output
**SG**: Ibam (72)
**Magnetic moment**: 0.00 μB per formula unit


b) # Sc2NiPd3

Crystalline Sc2NiPd3 at its relaxed geometry (PBE, Alexandria via LeMat-Bulk).

a b c (Å): 8.444 8.444 8.462
angles (deg): 119.93 119.93 90.00
Positions (direct):
Ni  0.395  0.395  0.790
Ni  0.605  0.605  0.210
Ni  0.645  0.145  0.290
Ni  0.855  0.355  0.710
Sc  0.904  0.113  0.809
Sc  0.346  0.054  0.691
Sc  0.304  0.096  0.191
Sc  0.946  0.654  0.309
Sc  0.363  0.654  0.309
Sc  0.904  0.696  0.809
Sc  0.346  0.637  0.691
Sc  0.887  0.096  0.191
Pd  0.953  0.047  0.500
Pd  0.703  0.703  0.000
Pd  0.297  0.703  0.000
Pd  0.547  0.453  0.500
Pd  0.547  0.047  0.500
Pd  0.297  0.297  0.000
Pd  0.703  0.297  0.000
Pd  0.125  0.375  0.250
Pd  0.953  0.453  0.500
Pd  0.125  0.875  0.250
Pd  0.625  0.875  0.750
Pd  0.125  0.875  0.750

Output
**SG**: I4_1/amd (141)
**Magnetic moment**: 0.00 μB per formula unit


Result of the stability comparison: a) is the most stable of them.


a) # Sc3NiPd

Crystalline Sc3NiPd at its relaxed geometry (PBE, Alexandria via LeMat-Bulk).

a b c (Å): 4.181 6.183 7.662
angles (deg): 90.00 90.00 90.01
Positions (direct):
Ni  0.250  0.250  0.622
Ni  0.750  0.750  0.378
Sc  0.750  0.750  0.046
Sc  0.250  0.499  0.343
Sc  0.250  0.001  0.343
Sc  0.750  0.999  0.657
Sc  0.750  0.501  0.657
Sc  0.250  0.250  0.954
Pd  0.250  0.750  0.808
Pd  0.750  0.250  0.192

Output
**SG**: Pmmn (59)
**Magnetic moment**: 0.00 μB per formula unit


b) # Sc3NiPd

Crystalline Sc3NiPd at its relaxed geometry (PBE, Alexandria via LeMat-Bulk).

a b c (Å): 4.786 4.786 4.786
angles (deg): 90.00 90.00 90.00
Positions (direct):
Pd  0.500  0.500  0.500
Sc  0.000  0.000  0.500
Sc  0.500  0.000  0.000
Sc  0.000  0.500  0.000
Ni  0.000  0.000  0.000

Output
**SG**: Pm-3m (221)
**Magnetic moment**: 0.00 μB per formula unit


c) # Sc3NiPd

Crystalline Sc3NiPd at its relaxed geometry (PBE, Alexandria via LeMat-Bulk).

a b c (Å): 4.295 6.625 7.137
angles (deg): 108.12 90.00 90.00
Positions (direct):
Sc  0.250  0.345  0.581
Sc  0.750  0.655  0.419
Sc  0.750  0.057  0.225
Sc  0.250  0.677  0.079
Sc  0.750  0.323  0.921
Sc  0.250  0.943  0.775
Ni  0.250  0.937  0.413
Ni  0.750  0.063  0.587
Pd  0.250  0.303  0.168
Pd  0.750  0.697  0.832

Output
**SG**: P2_1/m (11)
**Magnetic moment**: 0.00 μB per formula unit


Result of the stability comparison: c) is the most stable of them.